Record 1
This record from Alexandria describes a relaxed structure of ZnSn2B. The functional is PBE-GGA.

Computed properties:
Crystal system: cubic
Total energy in eV per atom: -3.1405
Energy above the most stable polymorph in this dataset in eV/atom: 0.3574

Unit cell a=6.779 b=6.779 c=6.779 alpha=90.00 beta=90.00 gamma=90.00
Space group Fm-3m (No. 225)
Asymmetric unit:
Zn: 0.000 0.000 0.000
Sn: 0.250 0.250 0.250
B: 0.000 0.000 0.500


Record 2
This record from Alexandria describes a relaxed structure of Sr2ZrTl2. The functional is PBE-GGA.

Computed properties:
Crystal system: tetragonal
Total energy in eV per atom: -3.3466

Unit cell a=7.955 b=7.955 c=5.247 alpha=90.00 beta=90.00 gamma=90.00
Space group P4/mbm (No. 127)
Asymmetric unit:
Sr: 0.170 0.330 0.000
Zr: 0.000 0.000 0.500
Tl: 0.144 0.644 0.500